1.
# Sc2ZnPbAu, single point on PBEsol structure, DFT meta-GGA SCAN
data_Sc2ZnPbAu
_cell_length_a 4.850
_cell_length_b 4.990
_cell_length_c 4.990
_cell_angle_alpha 90.00
_cell_angle_beta 90.00
_cell_angle_gamma 90.00
_space_group_name_H-M_alt 'P 1'
_space_group_IT_number 1
loop_
_space_group_symop_operation_xyz
'x,y,z'
loop_
_atom_site_label
_atom_site_type_symbol
_atom_site_fract_x
_atom_site_fract_y
_atom_site_fract_z
_atom_site_occupancy
Sc1 Sc 0.000 0.000 0.500 1
Zn1 Zn 0.000 0.000 0.000 1
Pb1 Pb 0.500 0.000 0.000 1
Sc2 Sc 0.000 0.500 0.000 1
Au1 Au 0.500 0.500 0.500 1
# Crystal system: tetragonal
# Calculated formation energy (eV/atom): 0.19

---

2.
# Ca2LaCu2, single point on PBEsol structure, DFT meta-GGA SCAN
data_Ca2LaCu2
_cell_length_a 5.147
_cell_length_b 5.147
_cell_length_c 6.222
_cell_angle_alpha 114.44
_cell_angle_beta 114.44
_cell_angle_gamma 90.00
_space_group_name_H-M_alt 'P 1'
_space_group_IT_number 1
loop_
_space_group_symop_operation_xyz
'x,y,z'
loop_
_atom_site_label
_atom_site_type_symbol
_atom_site_fract_x
_atom_site_fract_y
_atom_site_fract_z
_atom_site_occupancy
Cu1 Cu 0.250 0.750 0.500 1
Ca1 Ca 0.344 0.344 0.687 1
Ca2 Ca 0.656 0.656 0.313 1
Cu2 Cu 0.750 0.250 0.500 1
La1 La 0.000 0.000 0.000 1
# Crystal system: tetragonal
# Calculated formation energy (eV/atom): 0.22
# Energy above the most stable polymorph in this dataset (meV per atom): 303.1

---

3.
# MgSnHgPb2, single point on PBEsol structure, DFT meta-GGA SCAN
data_MgSnHgPb2
_cell_length_a 5.236
_cell_length_b 5.817
_cell_length_c 5.817
_cell_angle_alpha 90.00
_cell_angle_beta 90.00
_cell_angle_gamma 90.00
_space_group_name_H-M_alt 'P 1'
_space_group_IT_number 1
loop_
_space_group_symop_operation_xyz
'x,y,z'
loop_
_atom_site_label
_atom_site_type_symbol
_atom_site_fract_x
_atom_site_fract_y
_atom_site_fract_z
_atom_site_occupancy
Sn1 Sn 0.000 0.000 0.000 1
Mg1 Mg 0.500 0.000 0.000 1
Pb1 Pb 0.000 0.000 0.500 1
Pb2 Pb 0.000 0.500 0.000 1
Hg1 Hg 0.500 0.500 0.500 1
# Crystal system: tetragonal
# Calculated formation energy (eV/atom): 0.46

---

4.
# ScI2NO, single point on PBEsol structure, DFT meta-GGA SCAN
data_ScI2NO
_cell_length_a 3.774
_cell_length_b 4.830
_cell_length_c 4.830
_cell_angle_alpha 90.00
_cell_angle_beta 90.00
_cell_angle_gamma 90.00
_space_group_name_H-M_alt 'P 1'
_space_group_IT_number 1
loop_
_space_group_symop_operation_xyz
'x,y,z'
loop_
_atom_site_label
_atom_site_type_symbol
_atom_site_fract_x
_atom_site_fract_y
_atom_site_fract_z
_atom_site_occupancy
Sc1 Sc 0.500 0.500 0.500 1
O1 O 0.500 0.000 0.000 1
I1 I 0.000 0.500 0.000 1
I2 I 0.000 0.000 0.500 1
N1 N 0.000 0.000 0.000 1
# Crystal system: tetragonal
# Formation energy without anion corrections (meV per atom): 576
# Energy above the most stable polymorph in this dataset (meV per atom): 336.8

---

5.
# Cs3BiBr6, single point on PBEsol structure, DFT meta-GGA SCAN
data_Cs3BiBr6
_cell_length_a 8.686
_cell_length_b 8.686
_cell_length_c 8.686
_cell_angle_alpha 60.00
_cell_angle_beta 60.00
_cell_angle_gamma 60.00
_space_group_name_H-M_alt 'P 1'
_space_group_IT_number 1
loop_
_space_group_symop_operation_xyz
'x,y,z'
loop_
_atom_site_label
_atom_site_type_symbol
_atom_site_fract_x
_atom_site_fract_y
_atom_site_fract_z
_atom_site_occupancy
Cs1 Cs 0.750 0.750 0.750 1
Br1 Br 0.230 0.770 0.770 1
Cs2 Cs 0.250 0.250 0.250 1
Br2 Br 0.230 0.770 0.230 1
Br3 Br 0.770 0.770 0.230 1
Br4 Br 0.770 0.230 0.770 1
Bi1 Bi 0.000 0.000 0.000 1
Br5 Br 0.770 0.230 0.230 1
Cs3 Cs 0.500 0.500 0.500 1
Br6 Br 0.230 0.230 0.770 1
# Crystal system: cubic
# Formation energy without anion corrections (meV per atom): -1466

---

6.
# Li2CaHfF8, single point on PBEsol structure, DFT meta-GGA SCAN
data_Li2CaHfF8
_cell_length_a 5.088
_cell_length_b 5.088
_cell_length_c 6.333
_cell_angle_alpha 113.69
_cell_angle_beta 113.69
_cell_angle_gamma 90.00
_space_group_name_H-M_alt 'P 1'
_space_group_IT_number 1
loop_
_space_group_symop_operation_xyz
'x,y,z'
loop_
_atom_site_label
_atom_site_type_symbol
_atom_site_fract_x
_atom_site_fract_y
_atom_site_fract_z
_atom_site_occupancy
F1 F 0.216 0.116 0.859 1
Li1 Li 0.000 0.000 0.000 1
F2 F 0.257 0.784 0.141 1
F3 F 0.884 0.356 0.141 1
F4 F 0.550 0.192 0.678 1
F5 F 0.128 0.486 0.678 1
F6 F 0.514 0.450 0.322 1
Li2 Li 0.750 0.250 0.500 1
Ca1 Ca 0.250 0.750 0.500 1
F7 F 0.808 0.872 0.322 1
F8 F 0.644 0.743 0.859 1
Hf1 Hf 0.500 0.500 0.000 1
# Crystal system: tetragonal
# Formation energy without anion corrections (meV per atom): -3831

---

7.
# MnZnPt3, single point on PBEsol structure, DFT meta-GGA SCAN
data_MnZnPt3
_cell_length_a 4.554
_cell_length_b 4.554
_cell_length_c 4.554
_cell_angle_alpha 90.00
_cell_angle_beta 90.00
_cell_angle_gamma 90.00
_space_group_name_H-M_alt 'P 1'
_space_group_IT_number 1
loop_
_space_group_symop_operation_xyz
'x,y,z'
loop_
_atom_site_label
_atom_site_type_symbol
_atom_site_fract_x
_atom_site_fract_y
_atom_site_fract_z
_atom_site_occupancy
Mn1 Mn 0.000 0.000 0.000 1
Pt1 Pt 0.000 0.500 0.000 1
Zn1 Zn 0.500 0.500 0.500 1
Pt2 Pt 0.000 0.000 0.500 1
Pt3 Pt 0.500 0.000 0.000 1
# Crystal system: cubic
# Calculated formation energy (eV/atom): 0.84

---

8.
# TcPN2, single point on PBEsol structure, DFT meta-GGA SCAN
data_TcPN2
_cell_length_a 4.443
_cell_length_b 5.088
_cell_length_c 4.443
_cell_angle_alpha 64.11
_cell_angle_beta 90.00
_cell_angle_gamma 115.89
_space_group_name_H-M_alt 'P 1'
_space_group_IT_number 1
loop_
_space_group_symop_operation_xyz
'x,y,z'
loop_
_atom_site_label
_atom_site_type_symbol
_atom_site_fract_x
_atom_site_fract_y
_atom_site_fract_z
_atom_site_occupancy
P1 P 0.500 0.000 0.500 1
Tc1 Tc 0.000 0.000 0.000 1
N1 N 0.375 0.250 0.203 1
N2 N 0.203 0.750 0.875 1
N3 N 0.547 0.750 0.375 1
P2 P 0.250 0.500 0.250 1
N4 N 0.875 0.250 0.547 1
Tc2 Tc 0.750 0.500 0.750 1
# Crystal system: tetragonal
# Formation energy without anion corrections (meV per atom): 158